# 1
A relaxed TbDy2Mg3Al2In crystal. Source: OQMD, functional PBE-GGA.

Structure (POSCAR):
```
TbDy2Mg3Al2In
1.0
4.6025 0.0000 0.0000
0.0000 6.4145 3.6964
0.0000 -6.4145 3.6964
Tb Dy Mg Al In
1 2 3 2 1
Cartesian
0.0000 0.0000 0.0000
0.0000 -2.8058 4.8504
0.0000 2.8058 4.8504
2.3012 -1.5789 2.3251
2.3012 1.5789 2.3251
2.3012 0.0000 5.0551
2.3012 -4.2717 3.2338
2.3012 4.2717 3.2338
0.0000 0.0000 3.2408
```

Output
E = -3.5324 eV per atom

=====

# 2
A relaxed DyTm2Mg3Al2In crystal. Source: OQMD, functional PBE-GGA.

Structure (POSCAR):
```
DyTm2Mg3Al2In
1.0
4.5803 0.0000 0.0000
0.0000 6.3741 3.6614
0.0000 -6.3741 3.6614
Dy Tm Mg Al In
1 2 3 2 1
Cartesian
0.0000 0.0000 0.0000
0.0000 -2.7949 4.8160
0.0000 2.7949 4.8160
2.2902 -1.5685 2.3139
2.2902 1.5685 2.3139
2.2902 0.0000 5.0181
2.2902 -4.2366 3.2116
2.2902 4.2366 3.2116
0.0000 0.0000 3.2330
```

Output
E = -3.4810 eV per atom

=====

Calculated values (g/cm³) of mass density for the records, taken in order: 5.521 5.764.